TlFeSn2 | PBE | relaxed

Properties
Offset from the most stable computed form   252 meV/atom
ΔE_f   0.476 eV per atom
E   -4.2327 eV/atom
N(E_F)   3.446 states/eV/f.u.

CIF file:
```
data_TlFeSn2
_cell_length_a 4.924
_cell_length_b 4.924
_cell_length_c 17.631
_cell_angle_alpha 90.00
_cell_angle_beta 90.00
_cell_angle_gamma 90.00
_symmetry_space_group_name_H-M 'I -4 2 d'
_symmetry_Int_Tables_number 122
_symmetry_space_group_name_Hall 'I -4 2bw'
loop_
_atom_site_label
_atom_site_type_symbol
_atom_site_fract_x
_atom_site_fract_y
_atom_site_fract_z
_atom_site_occupancy
Tl1 Tl 0.000 0.000 0.000 1
Fe1 Fe 0.000 0.000 0.500 1
Sn1 Sn 0.175 0.250 0.625 1
```

=====

BaLa2TlNi | PBE | relaxed

Properties
Offset from the most stable computed form   2 meV/atom
ΔE_f   -0.092 eV per atom
E   -4.0768 eV/atom
N(E_F)   7.521 states/eV/f.u.

CIF file:
```
data_BaLa2TlNi
_cell_length_a 5.452
_cell_length_b 5.452
_cell_length_c 5.940
_cell_angle_alpha 90.00
_cell_angle_beta 90.00
_cell_angle_gamma 90.00
_symmetry_space_group_name_H-M 'P 4/m m m'
_symmetry_Int_Tables_number 123
_symmetry_space_group_name_Hall '-P 4 2'
loop_
_atom_site_label
_atom_site_type_symbol
_atom_site_fract_x
_atom_site_fract_y
_atom_site_fract_z
_atom_site_occupancy
Ba1 Ba 0.000 0.000 0.000 1
La1 La 0.000 0.500 0.500 1
Tl1 Tl 0.500 0.500 0.000 1
Ni1 Ni 0.000 0.000 0.500 1
```

=====

Sm12TlPd5 | PBE | relaxed

Properties
ΔE_f   -0.511 eV per atom
E   -5.2315 eV/atom
N(E_F)   17.108 states/eV/f.u.

CIF file:
```
data_Sm12TlPd5
_cell_length_a 9.679
_cell_length_b 9.964
_cell_length_c 10.497
_cell_angle_alpha 90.00
_cell_angle_beta 90.00
_cell_angle_gamma 90.00
_symmetry_space_group_name_H-M 'I m m m'
_symmetry_Int_Tables_number 71
_symmetry_space_group_name_Hall '-I 2 2'
loop_
_atom_site_label
_atom_site_type_symbol
_atom_site_fract_x
_atom_site_fract_y
_atom_site_fract_z
_atom_site_occupancy
Sm1 Sm 0.000 0.189 0.224 1
Sm2 Sm 0.199 0.500 0.175 1
Sm3 Sm 0.213 0.321 0.500 1
Tl1 Tl 0.000 0.000 0.500 1
Pd1 Pd 0.000 0.000 0.000 1
Pd2 Pd 0.000 0.352 0.000 1
Pd3 Pd 0.000 0.500 0.368 1
```

=====

Y2TlCr | PBE | relaxed

Properties
Offset from the most stable computed form   311 meV/atom
ΔE_f   0.311 eV per atom
E   -5.9187 eV/atom
N(E_F)   16.031 states/eV/f.u.

CIF file:
```
data_Y2TlCr
_cell_length_a 7.248
_cell_length_b 7.248
_cell_length_c 7.248
_cell_angle_alpha 90.00
_cell_angle_beta 90.00
_cell_angle_gamma 90.00
_symmetry_space_group_name_H-M 'F m -3 m'
_symmetry_Int_Tables_number 225
_symmetry_space_group_name_Hall '-F 4 2 3'
loop_
_atom_site_label
_atom_site_type_symbol
_atom_site_fract_x
_atom_site_fract_y
_atom_site_fract_z
_atom_site_occupancy
Y1 Y 0.250 0.250 0.250 1
Tl1 Tl 0.000 0.000 0.000 1
Cr1 Cr 0.000 0.000 0.500 1
```

=====

NpTiIr4 | PBE | relaxed

Properties
ΔE_f   -0.399 eV per atom
E   -9.7788 eV/atom
N(E_F)   9.871 states/eV/f.u.

CIF file:
```
data_NpTiIr4
_cell_length_a 7.428
_cell_length_b 7.428
_cell_length_c 7.428
_cell_angle_alpha 90.00
_cell_angle_beta 90.00
_cell_angle_gamma 90.00
_symmetry_space_group_name_H-M 'F -4 3 m'
_symmetry_Int_Tables_number 216
_symmetry_space_group_name_Hall 'F -4 2 3'
loop_
_atom_site_label
_atom_site_type_symbol
_atom_site_fract_x
_atom_site_fract_y
_atom_site_fract_z
_atom_site_occupancy
Np1 Np 0.000 0.000 0.000 1
Ti1 Ti 0.250 0.250 0.750 1
Ir1 Ir 0.125 0.125 0.375 1
```

=====

Cd9GaAg2 | PBE | relaxed

Properties
ΔE_f   0.018 eV per atom
E   -1.3960 eV/atom
N(E_F)   3.009 states/eV/f.u.

CIF file:
```
data_Cd9GaAg2
_cell_length_a 5.902
_cell_length_b 7.010
_cell_length_c 7.471
_cell_angle_alpha 65.22
_cell_angle_beta 71.20
_cell_angle_gamma 74.08
_symmetry_space_group_name_H-M 'P -1'
_symmetry_Int_Tables_number 2
loop_
_symmetry_equiv_pos_as_xyz
'x,y,z'
'-x,-y,-z'
loop_
_atom_site_label
_atom_site_type_symbol
_atom_site_fract_x
_atom_site_fract_y
_atom_site_fract_z
_atom_site_occupancy
Cd1 Cd 0.000 0.000 0.000 1
Cd2 Cd 0.137 0.265 0.566 1
Cd3 Cd 0.144 0.801 0.676 1
Cd4 Cd 0.294 0.558 0.150 1
Cd5 Cd 0.421 0.996 0.233 1
Ga1 Ga 0.500 0.500 0.500 1
Ag1 Ag 0.223 0.351 0.910 1
```

=====

KRbCa2B | PBE | relaxed

Properties
ΔE_f   0.479 eV per atom
E   -2.0702 eV/atom
N(E_F)   2.793 states/eV/f.u.

CIF file:
```
data_KRbCa2B
_cell_length_a 5.506
_cell_length_b 5.506
_cell_length_c 6.774
_cell_angle_alpha 90.00
_cell_angle_beta 90.00
_cell_angle_gamma 90.00
_symmetry_space_group_name_H-M 'P 4/m m m'
_symmetry_Int_Tables_number 123
_symmetry_space_group_name_Hall '-P 4 2'
loop_
_atom_site_label
_atom_site_type_symbol
_atom_site_fract_x
_atom_site_fract_y
_atom_site_fract_z
_atom_site_occupancy
K1 K 0.000 0.000 0.000 1
Rb1 Rb 0.500 0.500 0.000 1
Ca1 Ca 0.000 0.500 0.500 1
B1 B 0.000 0.000 0.500 1
```

=====

CdAu | PBE | relaxed

Properties
ΔE_f   -0.173 eV per atom
E   -2.2688 eV/atom
N(E_F)   0.554 states/eV/f.u.

CIF file:
```
data_CdAu
_cell_length_a 3.390
_cell_length_b 3.390
_cell_length_c 3.390
_cell_angle_alpha 90.00
_cell_angle_beta 90.00
_cell_angle_gamma 90.00
_symmetry_space_group_name_H-M 'P m -3 m'
_symmetry_Int_Tables_number 221
_symmetry_space_group_name_Hall '-P 4 2 3'
loop_
_atom_site_label
_atom_site_type_symbol
_atom_site_fract_x
_atom_site_fract_y
_atom_site_fract_z
_atom_site_occupancy
Cd1 Cd 0.000 0.000 0.000 1
Au1 Au 0.500 0.500 0.500 1
```